Na2YHg2: optimized geometry, PBE.

Cell and atoms, written as POSCAR:
```
Na2YHg2
1.0
4.1756 0.0000 0.0000
0.0000 4.1756 0.0000
2.0878 2.0878 7.5291
Y Na Hg
1 2 2
Direct
0.0000 0.0000 0.0000
0.7500 0.2500 0.5000
0.2500 0.7500 0.5000
0.4022 0.4022 0.1956
0.5978 0.5978 0.8044
```

* space-group type: I4/mmm
* relative energy among the computed polymorphs: 0.0 meV per atom
* magnetization: 0.000 μB per cell
* formation enthalpy at 0 K: -0.165 eV/atom


TaZnCr2Co: optimized geometry, PBE.

Cell and atoms, written as POSCAR:
```
TaZnCr2Co
1.0
-2.2475 -3.2628 -1.9885
3.4412 -3.0862 1.1745
-2.0902 -0.8813 3.8086
Cr Zn Co Ta
2 1 1 1
Direct
0.0000 0.0000 0.5000
0.5000 0.0000 0.0000
0.0000 0.0000 0.0000
0.5000 0.5000 0.5000
0.0000 0.5000 0.0000
```

* space-group type: P4/mmm
* magnetization: 6.920 μB per cell
* formation enthalpy at 0 K: 1.648 eV/atom


Y5W4: optimized geometry, PBE.

Cell and atoms, written as POSCAR:
```
Y5W4
1.0
6.1985 0.2345 4.9576
-7.3898 -1.9008 -2.1982
3.1877 -5.8626 -4.3039
Y W
5 4
Direct
0.0000 0.0000 0.0000
0.6683 0.3317 0.0000
0.6683 0.6683 0.3366
0.3317 0.3317 0.6634
0.3317 0.6683 0.0000
0.0000 0.3657 0.3657
0.0000 0.6343 0.6343
0.6343 0.0000 0.6343
0.3657 0.0000 0.3657
```

* space-group type: I4/mmm
* magnetization: 0.000 μB per cell
* formation enthalpy at 0 K: 0.544 eV/atom


NaLiSiAs2: optimized geometry, PBE.

Cell and atoms, written as POSCAR:
```
NaLiSiAs2
1.0
-0.2053 -3.9097 0.1545
4.3856 -2.3916 -5.0118
6.8723 -2.1433 4.5777
Na Li Si As
2 2 2 4
Direct
0.7963 0.7686 0.6388
0.2037 0.2314 0.3612
0.3491 0.3872 0.9147
0.6509 0.6128 0.0853
0.0347 0.1119 0.8188
0.9653 0.8881 0.1812
0.4426 0.7690 0.3458
0.5574 0.2310 0.6542
0.8446 0.2335 0.0772
0.1554 0.7665 0.9228
```

* space-group type: C2/m
* energy relative to the elements, uncorrected: -0.36 eV/atom
* magnetization: 0.000 μB per cell


Tb3Er2Te8: optimized geometry, PBE.

Cell and atoms, written as POSCAR:
```
Tb3Er2Te8
1.0
-3.0942 -1.2473 -6.7071
-5.4714 -5.7112 3.5862
-1.0221 8.5807 1.5910
Tb Er Te
3 2 8
Direct
0.5000 0.0000 0.0000
0.0000 0.2576 0.0000
0.0000 0.7424 0.0000
0.3313 0.2501 0.5002
0.6687 0.7499 0.4998
0.8938 0.6177 0.2354
0.1062 0.3823 0.7646
0.9171 0.1227 0.2454
0.0829 0.8773 0.7546
0.5863 0.6278 0.7532
0.5863 0.1254 0.7532
0.4137 0.8746 0.2468
0.4137 0.3722 0.2468
```

* space-group type: C2/m
* energy relative to the elements, uncorrected: -1.24 eV/atom
* magnetization: 0.000 μB per cell


Tb7Pm2Sm2: optimized geometry, PBE.

Cell and atoms, written as POSCAR:
```
Tb7Pm2Sm2
1.0
5.7824 1.1029 1.5915
0.4770 7.9837 1.3164
0.4770 -1.5710 7.9375
Tb Pm Sm
7 2 2
Direct
0.1741 0.0630 0.5892
0.8259 0.4108 0.9370
0.8259 0.9370 0.4108
0.1741 0.5892 0.0630
0.0000 0.0000 0.0000
0.5819 0.7673 0.7673
0.4181 0.2327 0.2327
0.5000 0.2144 0.7856
0.5000 0.7856 0.2144
0.8078 0.4078 0.4078
0.1922 0.5922 0.5922
```

* space-group type: C2/m
* magnetization: 0.000 μB per cell
* formation enthalpy at 0 K: 0.150 eV/atom


La2Nd2Hg3: optimized geometry, PBE.

Cell and atoms, written as POSCAR:
```
La2Nd2Hg3
1.0
-2.7077 -4.3418 1.7009
3.9867 2.0342 3.0098
-5.2402 7.4106 1.9604
La Nd Hg
2 2 3
Direct
0.2570 0.1285 0.3851
0.7430 0.8714 0.6149
0.7576 0.3788 0.1360
0.2424 0.6212 0.8640
0.0000 0.0000 0.0000
0.5053 0.2526 0.7584
0.4948 0.7474 0.2416
```

* space-group type: C2/m
* magnetization: 1.077 μB per cell
* formation enthalpy at 0 K: -0.335 eV/atom


CrNi2W: optimized geometry, PBE.

Cell and atoms, written as POSCAR:
```
CrNi2W
1.0
-1.1247 1.8797 -1.3972
-2.3487 -0.9261 0.6134
-0.1546 4.3597 5.9895
Cr Ni W
1 2 1
Direct
0.5000 0.5000 0.7777
0.0000 0.0000 0.9979
0.5000 0.5000 0.2356
0.0000 0.0000 0.4888
```

* space-group type: Cmm2
* relative energy among the computed polymorphs: 71.4 meV per atom
* magnetization: 0.000 μB per cell
* formation enthalpy at 0 K: 0.100 eV/atom